Run i
Computed, not measured: crystalline PPbC3 at its relaxed geometry at the PBE level of DFT.

Summary:
N(E_F) = 2.8 states/eV per cell
SG = No. 221

Lattice parameters (Å, degrees): 4.457 4.457 4.457 90.00 90.00 90.00
Element x y z (fractional)
C  0.500  0.000  0.000
C  0.000  0.000  0.500
P  0.500  0.500  0.500
C  0.000  0.500  0.000
Pb  0.000  0.000  0.000

***

Run ii
Computed, not measured: crystalline PPbC3 at its relaxed geometry at the PBE level of DFT.

Summary:
N(E_F) = 2.9 states/eV per cell
SG = No. 221

Lattice parameters (Å, degrees): 3.847 3.847 3.847 90.00 90.00 90.00
Element x y z (fractional)
P  0.000  0.000  0.000
C  0.000  0.500  0.000
C  0.000  0.000  0.500
Pb  0.500  0.500  0.500
C  0.500  0.000  0.000

***

Result of the stability comparison: run ii is the most stable of them.

***

Run i
Computed, not measured: crystalline P3PbC at its relaxed geometry at the PBE level of DFT.

Summary:
N(E_F) = 3.4 states/eV per cell
SG = No. 221

Lattice parameters (Å, degrees): 5.300 5.300 5.300 90.00 90.00 90.00
Element x y z (fractional)
P  0.000  0.500  0.000
P  0.500  0.000  0.000
C  0.500  0.500  0.500
P  0.000  0.000  0.500
Pb  0.000  0.000  0.000

***

Run ii
Computed, not measured: crystalline P3PbC at its relaxed geometry at the PBE level of DFT.

Summary:
N(E_F) = 3.9 states/eV per cell
SG = No. 221

Lattice parameters (Å, degrees): 4.311 4.311 4.311 90.00 90.00 90.00
Element x y z (fractional)
C  0.000  0.000  0.000
Pb  0.500  0.500  0.500
P  0.500  0.000  0.000
P  0.000  0.000  0.500
P  0.000  0.500  0.000

***

Result of the stability comparison: run ii is the most stable of them.